No. 1
DFT (PBE) results for a geometry-optimized SrErGa2Pt2 structure.

Energy of formation (eV/atom): -0.99
N(E_F) (states/eV/f.u.): 2.41
SG: P-3m1 (164)

Cell lengths 4.4585, 4.4585, 7.6977 Å; angles 90.00, 90.00, 120.00 degrees
Fractional positions:
Sr1 0.0000 0.0000 0.0000
Er1 0.0000 0.0000 0.5000
Ga1 0.6667 0.3333 0.2874
Ga2 0.3333 0.6667 0.7126
Pt1 0.6667 0.3333 0.7028
Pt2 0.3333 0.6667 0.2972

---

No. 2
DFT (PBE) results for a geometry-optimized Sr2TlAgCl6 structure.

Electronic total energy (eV/atom): -3.72
N(E_F) (states/eV/f.u.): 0.00
SG: R3 (146)

Cell lengths 7.4409, 7.4403, 7.9289 Å; angles 62.01, 62.02, 60.00 degrees
Fractional positions:
Sr1 0.5173 0.5174 0.4480
Sr2 0.0093 0.0093 0.9720
Tl1 0.8039 0.8039 0.5883
Ag1 0.3154 0.3154 0.0538
Cl1 0.6011 0.2401 0.2342
Cl2 0.2400 0.9247 0.2341
Cl3 0.9247 0.6010 0.2342
Cl4 0.3759 0.7217 0.7503
Cl5 0.7217 0.1522 0.7502
Cl6 0.1523 0.3758 0.7502

---

No. 3
DFT (PBE) results for a geometry-optimized Ca7Ta6 structure.

Energy of formation (eV/atom): 1.28
N(E_F) (states/eV/f.u.): 13.77
SG: R-3m (166)

Cell lengths 12.1184, 12.1184, 12.1184 Å; angles 29.45, 29.45, 29.45 degrees
Last column: magnetic moment on the atom in μB.
Fractional positions:
Ca1 0.9244 0.4230 0.4230  0.02
Ca2 0.4230 0.4230 0.9244  0.02
Ca3 0.4230 0.9244 0.4230  0.02
Ca4 0.0756 0.5770 0.5770  0.02
Ca5 0.5770 0.0756 0.5770  0.02
Ca6 0.5770 0.5770 0.0756  0.02
Ca7 0.5000 0.5000 0.5000  0.02
Ta1 0.9632 0.9632 0.9632  -0.20
Ta2 0.0368 0.0368 0.0368  -0.20
Ta3 0.8906 0.8906 0.8906  0.96
Ta4 0.1094 0.1094 0.1094  0.96
Ta5 0.6667 0.6667 0.6667  0.61
Ta6 0.3333 0.3333 0.3333  0.61

---

No. 4
DFT (PBE) results for a geometry-optimized Dy3CuSnSe7 structure.

Electronic total energy (eV/atom): -5.12
SG: P6_3 (173)

Cell lengths 10.2372, 10.2372, 6.5167 Å; angles 90.00, 90.00, 120.00 degrees
Fractional positions:
Dy1 0.3575 0.1516 0.3934
Dy2 0.2060 0.3575 0.8934
Dy3 0.1516 0.7940 0.8934
Dy4 0.8484 0.2060 0.3934
Dy5 0.7940 0.6425 0.3934
Dy6 0.6425 0.8484 0.8934
Cu1 0.0000 0.0000 0.9974
Cu2 0.0000 0.0000 0.4974
Sn1 0.3333 0.6667 0.3223
Sn2 0.6667 0.3333 0.8223
Se1 0.2649 0.1172 0.9686
Se2 0.1477 0.2649 0.4686
Se3 0.1172 0.8523 0.4686
Se4 0.8828 0.1477 0.9686
Se5 0.8523 0.7351 0.9686
Se6 0.7351 0.8828 0.4686
Se7 0.5183 0.4399 0.6387
Se8 0.0785 0.5183 0.1387
Se9 0.4399 0.9215 0.1387
Se10 0.5601 0.0785 0.6387
Se11 0.9215 0.4817 0.6387
Se12 0.4817 0.5601 0.1387
Se13 0.3333 0.6667 0.7147
Se14 0.6667 0.3333 0.2147